Entry 1:
{
  "formula": "NaSrAlF6",
  "functional": "PBE",
  "state": "relaxed",
  "lattice": [[5.022, 0.000, 0.000], [0.000, 5.472, 0.000], [0.000, -2.736, 4.739]],
  "species": ["F", "F", "F", "F", "F", "F", "Na", "Sr", "Al"],
  "fractional_positions": [[0.290, 0.723, 0.999], [0.290, 0.001, 0.725], [0.710, 0.275, 0.999], [0.710, 0.001, 0.277], [0.710, 0.723, 0.725], [0.290, 0.275, 0.277], [0.500, 0.667, 0.333], [0.000, 0.333, 0.667], [0.500, 0.000, 0.000]],
  "de_polymorph_mev_per_atom": 6,
  "e_form_raw_mev_per_atom": -3542,
  "total_magnetization_mub_per_atom": 0.012,
  "sg": "No. 149"
}

---

Entry 2:
{
  "formula": "KAlPb",
  "functional": "PBE",
  "state": "relaxed",
  "lattice": [[-0.823, 4.810, 3.385], [-3.174, -4.412, 2.392], [5.044, -1.674, 3.605]],
  "species": ["K", "K", "Pb", "Pb", "Al", "Al"],
  "fractional_positions": [[0.125, 0.875, 0.250], [0.875, 0.125, 0.750], [0.268, 0.732, 0.750], [0.732, 0.268, 0.250], [0.500, 0.500, 0.000], [0.500, 0.500, 0.500]],
  "total_magnetization_mub_per_atom": 0.000,
  "sg": "No. 63",
  "delta_e_f_ev_per_atom": 0.194
}

---

Entry 3:
{
  "formula": "NdPb2Au",
  "functional": "PBE",
  "state": "relaxed",
  "lattice": [[4.872, 0.000, -1.351], [-0.375, 4.858, -1.351], [-0.062, -0.067, 9.236]],
  "species": ["Nd", "Nd", "Au", "Au", "Pb", "Pb", "Pb", "Pb"],
  "fractional_positions": [[0.140, 0.140, 0.280], [0.860, 0.860, 0.720], [0.250, 0.750, 0.500], [0.750, 0.250, 0.500], [0.641, 0.641, 0.283], [0.000, 0.500, 0.000], [0.359, 0.359, 0.717], [0.500, 0.000, 0.000]],
  "de_polymorph_mev_per_atom": 0,
  "total_magnetization_mub_per_atom": 0.000,
  "sg": "No. 139",
  "delta_e_f_ev_per_atom": -0.489
}

---

Entry 4:
{
  "formula": "SmRhF",
  "functional": "PBE",
  "state": "relaxed",
  "lattice": [[-1.608, 3.894, -0.650], [-4.214, 0.526, -0.375], [1.439, -0.499, 7.525]],
  "species": ["Sm", "Sm", "F", "F", "Rh", "Rh"],
  "fractional_positions": [[0.913, 0.913, 0.741], [0.087, 0.087, 0.259], [0.804, 0.804, 0.414], [0.196, 0.196, 0.586], [0.663, 0.663, 0.989], [0.337, 0.337, 0.011]],
  "e_form_raw_mev_per_atom": -2043,
  "total_magnetization_mub_per_atom": 0.000,
  "sg": "No. 12"
}

---

Entry 5:
{
  "formula": "Sr2Tl4CdPb2",
  "functional": "PBE",
  "state": "relaxed",
  "lattice": [[-1.929, -7.050, 1.767], [3.428, 4.421, 5.025], [-5.244, 5.322, -0.853]],
  "species": ["Pb", "Pb", "Tl", "Tl", "Tl", "Tl", "Sr", "Sr", "Cd"],
  "fractional_positions": [[0.000, 0.276, 0.276], [0.000, 0.724, 0.724], [0.564, 0.282, 0.282], [0.000, 0.718, 0.282], [0.436, 0.718, 0.718], [0.000, 0.282, 0.718], [0.500, 0.750, 0.250], [0.500, 0.250, 0.750], [0.000, 0.000, 0.000]],
  "total_magnetization_mub_per_atom": 0.000,
  "sg": "No. 139",
  "delta_e_f_ev_per_atom": -0.193
}

---

Entry 6:
{
  "formula": "La5Cu2Au5",
  "functional": "PBE",
  "state": "relaxed",
  "lattice": [[4.116, 0.000, 0.929], [2.043, 8.274, 0.530], [0.126, -0.432, 9.027]],
  "species": ["La", "La", "La", "La", "La", "Cu", "Cu", "Au", "Au", "Au", "Au", "Au"],
  "fractional_positions": [[0.617, 0.081, 0.686], [0.000, 0.500, 0.500], [0.692, 0.708, 0.908], [0.308, 0.292, 0.092], [0.383, 0.919, 0.314], [0.618, 0.520, 0.245], [0.382, 0.480, 0.755], [0.926, 0.315, 0.832], [0.288, 0.783, 0.642], [0.074, 0.685, 0.168], [0.000, 0.000, 0.000], [0.712, 0.217, 0.358]],
  "total_magnetization_mub_per_atom": 0.000,
  "sg": "No. 12",
  "delta_e_f_ev_per_atom": -0.664
}

---

Entry 7:
{
  "formula": "TlNiAg2",
  "functional": "PBE",
  "state": "relaxed",
  "lattice": [[5.005, 0.040, 0.000], [-1.905, 4.628, 0.000], [0.000, 0.000, 3.141]],
  "species": ["Ag", "Ag", "Ni", "Tl"],
  "fractional_positions": [[0.000, 0.000, 0.000], [0.500, 0.500, 0.000], [0.500, 0.000, 0.500], [0.000, 0.500, 0.500]],
  "de_polymorph_mev_per_atom": 112,
  "total_magnetization_mub_per_atom": 0.000,
  "sg": "No. 65",
  "delta_e_f_ev_per_atom": 0.318
}

---

Entry 8:
{
  "formula": "LiYTm4Se8",
  "functional": "PBE",
  "state": "relaxed",
  "lattice": [[-3.600, -3.413, 6.611], [-6.915, -4.440, -0.891], [0.212, -8.232, 1.033]],
  "species": ["Y", "Se", "Se", "Se", "Se", "Se", "Se", "Se", "Se", "Li", "Tm", "Tm", "Tm", "Tm"],
  "fractional_positions": [[0.005, 0.005, 0.985], [0.247, 0.247, 0.741], [0.244, 0.244, 0.267], [0.756, 0.756, 0.262], [0.226, 0.756, 0.262], [0.247, 0.765, 0.741], [0.756, 0.226, 0.262], [0.759, 0.759, 0.724], [0.765, 0.247, 0.741], [0.375, 0.375, 0.876], [0.005, 0.484, 0.505], [0.626, 0.626, 0.123], [0.484, 0.005, 0.505], [0.005, 0.005, 0.505]],
  "e_form_raw_mev_per_atom": -1775,
  "total_magnetization_mub_per_atom": 0.000,
  "sg": "No. 160"
}